No. 1
Rb4NaPd2: relaxed, GGA-PBE.

The structure in CIF format:
```
data_Rb4NaPd2
_chemical_formula_sum 'Rb8 Na2 Pd4'
_cell_length_a 6.823
_cell_length_b 6.823
_cell_length_c 16.224
_cell_angle_alpha 90.00
_cell_angle_beta 90.00
_cell_angle_gamma 90.00
_space_group_name_H-M_alt 'I 4/m m m'
_space_group_IT_number 139
_space_group_name_Hall '-I 4 2'
loop_
_atom_site_label
_atom_site_fract_x
_atom_site_fract_y
_atom_site_fract_z
_atom_site_occupancy
Rb1 0.000 0.000 0.238 1
Rb2 0.000 0.500 0.000 1
Na1 0.000 0.000 0.000 1
Pd1 0.000 0.000 0.420 1
```

DFT total energy: -27.0 eV/cell
size of the total moment: 0.00 μB per formula unit



No. 2
RbNaPd: relaxed, GGA-PBE.

The structure in CIF format:
```
data_RbNaPd
_chemical_formula_sum 'Rb4 Na4 Pd4'
_cell_length_a 7.124
_cell_length_b 6.571
_cell_length_c 9.111
_cell_angle_alpha 90.00
_cell_angle_beta 112.36
_cell_angle_gamma 90.00
_space_group_name_H-M_alt 'P 1 21/c 1'
_space_group_IT_number 14
loop_
_space_group_symop_operation_xyz
'x,y,z'
'-x,-y,-z'
'-x,y+1/2,-z+1/2'
'x,-y+1/2,z+1/2'
loop_
_atom_site_label
_atom_site_fract_x
_atom_site_fract_y
_atom_site_fract_z
_atom_site_occupancy
Rb1 0.159 0.108 0.370 1
Na1 0.417 0.624 0.317 1
Pd1 0.185 0.593 0.537 1
```

DFT total energy: -29.4 eV/cell
size of the total moment: 0.00 μB per formula unit



No. 3
RbNaPd: relaxed, GGA-PBE.

The structure in CIF format:
```
data_RbNaPd
_chemical_formula_sum 'Rb2 Na2 Pd2'
_cell_length_a 3.953
_cell_length_b 3.953
_cell_length_c 12.260
_cell_angle_alpha 90.00
_cell_angle_beta 90.00
_cell_angle_gamma 90.00
_space_group_name_H-M_alt 'I 4 m m'
_space_group_IT_number 107
_space_group_name_Hall 'I 4 -2'
loop_
_atom_site_label
_atom_site_fract_x
_atom_site_fract_y
_atom_site_fract_z
_atom_site_occupancy
Rb1 0.000 0.000 0.000 1
Na1 0.000 0.000 0.734 1
Pd1 0.000 0.000 0.310 1
```

DFT total energy: -14.2 eV/cell
size of the total moment: 0.00 μB per formula unit



No. 4
Rb2NaPd2: relaxed, GGA-PBE.

The structure in CIF format:
```
data_Rb2NaPd2
_chemical_formula_sum 'Rb4 Na2 Pd4'
_cell_length_a 7.724
_cell_length_b 7.724
_cell_length_c 5.364
_cell_angle_alpha 90.00
_cell_angle_beta 90.00
_cell_angle_gamma 90.00
_space_group_name_H-M_alt 'P 4/m b m'
_space_group_IT_number 127
_space_group_name_Hall '-P 4 2ab'
loop_
_atom_site_label
_atom_site_fract_x
_atom_site_fract_y
_atom_site_fract_z
_atom_site_occupancy
Rb1 0.173 0.327 0.000 1
Na1 0.000 0.000 0.500 1
Pd1 0.122 0.622 0.500 1
```

DFT total energy: -25.8 eV/cell
size of the total moment: 0.00 μB per formula unit



No. 5
RbNa6Pd6: relaxed, GGA-PBE.

The structure in CIF format:
```
data_RbNa6Pd6
_chemical_formula_sum 'Rb2 Na12 Pd12'
_cell_length_a 5.621
_cell_length_b 9.817
_cell_length_c 10.065
_cell_angle_alpha 90.00
_cell_angle_beta 90.00
_cell_angle_gamma 90.00
_space_group_name_H-M_alt 'I m m m'
_space_group_IT_number 71
_space_group_name_Hall '-I 2 2'
loop_
_atom_site_label
_atom_site_fract_x
_atom_site_fract_y
_atom_site_fract_z
_atom_site_occupancy
Rb1 0.000 0.000 0.000 1
Na1 0.000 0.000 0.329 1
Na2 0.000 0.316 0.500 1
Na3 0.000 0.346 0.000 1
Pd1 0.000 0.500 0.257 1
Pd2 0.250 0.250 0.250 1
```

DFT total energy: -83.0 eV/cell
size of the total moment: 0.00 μB per formula unit



No. 6
RbNaPdRu2: relaxed, GGA-PBE.

The structure in CIF format:
```
data_RbNaPdRu2
_chemical_formula_sum 'Rb1 Na1 Pd1 Ru2'
_cell_length_a 4.974
_cell_length_b 4.974
_cell_length_c 5.032
_cell_angle_alpha 90.00
_cell_angle_beta 90.00
_cell_angle_gamma 90.00
_space_group_name_H-M_alt 'P 4/m m m'
_space_group_IT_number 123
_space_group_name_Hall '-P 4 2'
loop_
_atom_site_label
_atom_site_fract_x
_atom_site_fract_y
_atom_site_fract_z
_atom_site_occupancy
Rb1 0.000 0.000 0.000 1
Na1 0.500 0.500 0.500 1
Pd1 0.500 0.500 0.000 1
Ru1 0.000 0.500 0.500 1
```

DFT total energy: -16.7 eV/cell
size of the total moment: 4.57 μB per formula unit



No. 7
RbNa2SbPd: relaxed, GGA-PBE.

The structure in CIF format:
```
data_RbNa2SbPd
_chemical_formula_sum 'Rb1 Na2 Sb1 Pd1'
_cell_length_a 5.656
_cell_length_b 5.656
_cell_length_c 5.121
_cell_angle_alpha 90.00
_cell_angle_beta 90.00
_cell_angle_gamma 90.00
_space_group_name_H-M_alt 'P 4/m m m'
_space_group_IT_number 123
_space_group_name_Hall '-P 4 2'
loop_
_atom_site_label
_atom_site_fract_x
_atom_site_fract_y
_atom_site_fract_z
_atom_site_occupancy
Rb1 0.000 0.000 0.000 1
Na1 0.000 0.500 0.500 1
Sb1 0.500 0.500 0.000 1
Pd1 0.500 0.500 0.500 1
```

E above lowest polymorph: 0 meV/atom
DFT total energy: -14.4 eV/cell
raw formation energy: -0.287 eV/atom
size of the total moment: 0.00 μB per formula unit



No. 8
RbNaSbPd: relaxed, GGA-PBE.

The structure in CIF format:
```
data_RbNaSbPd
_chemical_formula_sum 'Rb2 Na2 Sb2 Pd2'
_cell_length_a 8.167
_cell_length_b 4.740
_cell_length_c 7.046
_cell_angle_alpha 90.00
_cell_angle_beta 112.80
_cell_angle_gamma 90.00
_space_group_name_H-M_alt 'C 1 m 1'
_space_group_IT_number 8
loop_
_space_group_symop_operation_xyz
'x,y,z'
'x,-y,z'
'x+1/2,y+1/2,z'
'x+1/2,-y+1/2,z'
loop_
_atom_site_label
_atom_site_fract_x
_atom_site_fract_y
_atom_site_fract_z
_atom_site_occupancy
Rb1 0.000 0.000 0.000 1
Na1 0.201 0.000 0.600 1
Sb1 0.461 0.000 0.381 1
Pd1 0.301 0.500 0.399 1
```

DFT total energy: -26.1 eV/cell
raw formation energy: -0.367 eV/atom
size of the total moment: 0.00 μB per formula unit



DOS(E_F) in states/eV per cell, matching the order above: 5.83, 3.03, 2.74, 4.79, 9.21, 6.91, 1.68, 3.26